(1)
TiPb3Br | PBE | relaxed

Calculated values
Its spin magnetization is 0.00 Bohr magnetons per cell. As for the symmetry: Pm-3m. The value obtained for the density of states at the Fermi level is 1.0823 states/eV per atom. The calculation puts the volume at 33.0 A^3/atom. The uncorrected formation energy comes out at 119 meV/atom. The calculation puts the polymorph energy (0 for the lowest one) at 0 meV/atom.

a = 5.487 Å, b = 5.487 Å, c = 5.487 Å
α = 90.00°, β = 90.00°, γ = 90.00°
Fractional positions:
Ti 0.000 0.000 0.000
Pb 0.000 0.000 0.500
Pb 0.000 0.500 0.000
Pb 0.500 0.000 0.000
Br 0.500 0.500 0.500

***

(2)
TiPbBr2 | PBE | relaxed

Calculated values
Its spin magnetization is 2.63 Bohr magnetons per cell. As for the symmetry: Fm-3m. The value obtained for the density of states at the Fermi level is 1.5059 states/eV per atom. The calculation puts the volume at 25.3 A^3/atom. The uncorrected formation energy comes out at 36 meV/atom. The calculation puts the polymorph energy (0 for the lowest one) at 672 meV/atom.

a = 5.230 Å, b = 5.230 Å, c = 5.230 Å
α = 60.00°, β = 60.00°, γ = 60.00°
Fractional positions:
Ti 0.000 0.000 0.000
Pb 0.500 0.500 0.500
Br 0.250 0.250 0.250
Br 0.750 0.750 0.750

***

What did the first record say?
TiPb3Br | PBE | relaxed

Calculated values
Its spin magnetization is 0.00 Bohr magnetons per cell. As for the symmetry: Pm-3m. The value obtained for the density of states at the Fermi level is 1.0823 states/eV per atom. The calculation puts the volume at 33.0 A^3/atom. The uncorrected formation energy comes out at 119 meV/atom. The calculation puts the polymorph energy (0 for the lowest one) at 0 meV/atom.

a = 5.487 Å, b = 5.487 Å, c = 5.487 Å
α = 90.00°, β = 90.00°, γ = 90.00°
Fractional positions:
Ti 0.000 0.000 0.000
Pb 0.000 0.000 0.500
Pb 0.000 0.500 0.000
Pb 0.500 0.000 0.000
Br 0.500 0.500 0.500

***

Question: The highest polymorph energy (0 for the lowest one) belongs to which entry?
Answer: TiPbBr2

***

Question: The lowest uncorrected formation energy belongs to which entry?
Answer: TiPbBr2